(w)
Below is a geometry-optimized Tb3Sm3In2 structure, with properties calculated at the PBE level.

Values from the calculation:
Symmetry = Cmcm, No. 63
Theoretical density = 7.7 Mg/m³

Structure (POSCAR):
```
Tb3Sm3In2
1.0
2.623 -5.983 0.000
2.623 5.983 0.000
0.000 0.000 15.909
Tb Sm In
6 6 4
direct
0.040 0.960 0.750 Tb
0.142 0.858 0.032 Tb
0.142 0.858 0.468 Tb
0.858 0.142 0.532 Tb
0.858 0.142 0.968 Tb
0.960 0.040 0.250 Tb
0.240 0.760 0.250 Sm
0.461 0.539 0.105 Sm
0.461 0.539 0.395 Sm
0.539 0.461 0.605 Sm
0.539 0.461 0.895 Sm
0.760 0.240 0.750 Sm
0.271 0.729 0.640 In
0.271 0.729 0.860 In
0.729 0.271 0.140 In
0.729 0.271 0.360 In
```

(x)
Below is a geometry-optimized Tb3Sm3In2 structure, with properties calculated at the PBE level.

Values from the calculation:
Symmetry = Pmmm, No. 47
Theoretical density = 8.2 Mg/m³

Structure (POSCAR):
```
Tb3Sm3In2
1.0
4.885 0.000 0.000
0.000 4.898 0.000
0.000 0.000 9.833
Tb Sm In
3 3 2
direct
0.000 0.000 0.000 Tb
0.000 0.500 0.249 Tb
0.000 0.500 0.751 Tb
0.000 0.000 0.500 Sm
0.500 0.500 0.000 Sm
0.500 0.500 0.500 Sm
0.500 0.000 0.248 In
0.500 0.000 0.752 In
```

Stability ranking, top entry: (x); the second entry is 111 meV/atom less favorable.

(w)
Below is a geometry-optimized Tb3Sm4In structure, with properties calculated at the PBE level.

Values from the calculation:
Symmetry = Pm, No. 6
Theoretical density = 7.9 Mg/m³

Structure (POSCAR):
```
Tb3Sm4In
1.0
8.420 0.000 0.000
0.000 7.109 0.000
-0.811 0.000 8.415
Tb Sm In
6 8 2
direct
0.000 0.000 0.000 Tb
0.119 0.500 0.425 Tb
0.762 0.253 0.251 Tb
0.762 0.747 0.251 Tb
0.846 0.258 0.665 Tb
0.846 0.742 0.665 Tb
0.032 0.500 0.010 Sm
0.087 0.000 0.416 Sm
0.276 0.241 0.759 Sm
0.276 0.759 0.759 Sm
0.361 0.247 0.176 Sm
0.361 0.753 0.176 Sm
0.513 0.000 0.522 Sm
0.612 0.500 0.904 Sm
0.525 0.500 0.505 In
0.604 0.000 0.919 In
```

(x)
Below is a geometry-optimized Tb3Sm4In structure, with properties calculated at the PBE level.

Values from the calculation:
Symmetry = Pmn2_1, No. 31
Theoretical density = 7.9 Mg/m³

Structure (POSCAR):
```
Tb3Sm4In
1.0
11.309 0.000 0.000
0.000 7.145 0.000
0.000 0.000 6.221
Tb Sm In
6 8 2
direct
0.000 0.128 0.000 Tb
0.245 0.116 0.327 Tb
0.255 0.884 0.827 Tb
0.500 0.872 0.500 Tb
0.745 0.884 0.827 Tb
0.755 0.116 0.327 Tb
0.000 0.372 0.526 Sm
0.000 0.633 0.981 Sm
0.232 0.632 0.345 Sm
0.268 0.368 0.845 Sm
0.500 0.367 0.481 Sm
0.500 0.628 0.026 Sm
0.732 0.368 0.845 Sm
0.768 0.632 0.345 Sm
0.000 0.887 0.505 In
0.500 0.113 0.005 In
```

Stability ranking, top entry: (w); the second entry is 9 meV/atom less favorable.

(w)
Below is a geometry-optimized Tb4Sm5In structure, with properties calculated at the PBE level.

Values from the calculation:
Symmetry = P4/mmm, No. 123
Theoretical density = 7.8 Mg/m³

Structure (POSCAR):
```
Tb4Sm5In
1.0
4.182 0.000 0.000
0.000 4.182 0.000
0.000 0.000 18.227
Tb Sm In
4 5 1
direct
0.000 0.000 0.102 Tb
0.000 0.000 0.304 Tb
0.000 0.000 0.696 Tb
0.000 0.000 0.898 Tb
0.500 0.500 0.000 Sm
0.500 0.500 0.204 Sm
0.500 0.500 0.410 Sm
0.500 0.500 0.590 Sm
0.500 0.500 0.796 Sm
0.000 0.000 0.500 In
```

(x)
Below is a geometry-optimized Tb4Sm5In structure, with properties calculated at the PBE level.

Values from the calculation:
Symmetry = I4mm, No. 107
Theoretical density = 7.4 Mg/m³

Structure (POSCAR):
```
Tb4Sm5In
1.0
-5.315 5.315 2.965
5.315 -5.315 2.965
5.315 5.315 -2.965
Tb Sm In
4 5 1
direct
0.000 0.316 0.316 Tb
0.000 0.684 0.684 Tb
0.316 0.000 0.316 Tb
0.684 0.000 0.684 Tb
0.211 0.211 0.000 Sm
0.307 0.307 0.626 Sm
0.307 0.680 0.000 Sm
0.680 0.307 0.000 Sm
0.680 0.680 0.374 Sm
0.731 0.731 0.000 In
```

Stability ranking, top entry: (w); the second entry is 121 meV/atom less favorable.

(w)
Below is a geometry-optimized Tb3Sm3In structure, with properties calculated at the PBE level.

Values from the calculation:
Symmetry = Pnma, No. 62
Theoretical density = 7.7 Mg/m³

Structure (POSCAR):
```
Tb3Sm3In
1.0
13.441 0.000 0.000
0.000 5.227 0.000
0.000 0.000 12.818
Tb Sm In
12 12 4
direct
0.017 0.250 0.067 Tb
0.055 0.250 0.570 Tb
0.226 0.750 0.439 Tb
0.274 0.250 0.939 Tb
0.445 0.750 0.070 Tb
0.483 0.750 0.567 Tb
0.517 0.250 0.433 Tb
0.555 0.250 0.930 Tb
0.726 0.750 0.061 Tb
0.774 0.250 0.561 Tb
0.945 0.750 0.430 Tb
0.983 0.750 0.933 Tb
0.087 0.250 0.308 Sm
0.177 0.750 0.729 Sm
0.187 0.750 0.123 Sm
0.313 0.250 0.623 Sm
0.323 0.250 0.229 Sm
0.413 0.750 0.808 Sm
0.587 0.250 0.192 Sm
0.677 0.750 0.771 Sm
0.687 0.750 0.377 Sm
0.813 0.250 0.877 Sm
0.823 0.250 0.271 Sm
0.913 0.750 0.692 Sm
0.054 0.250 0.816 In
0.446 0.750 0.316 In
0.554 0.250 0.684 In
0.946 0.750 0.184 In
```

(x)
Below is a geometry-optimized Tb3Sm3In structure, with properties calculated at the PBE level.

Values from the calculation:
Symmetry = P2_1/m, No. 11
Theoretical density = 7.9 Mg/m³

Structure (POSCAR):
```
Tb3Sm3In
1.0
9.465 0.000 0.000
0.000 5.621 0.000
-4.732 0.000 8.207
Tb Sm In
6 6 2
direct
0.062 0.250 0.321 Tb
0.179 0.250 0.741 Tb
0.241 0.750 0.562 Tb
0.759 0.250 0.438 Tb
0.821 0.750 0.259 Tb
0.938 0.750 0.679 Tb
0.106 0.750 0.128 Sm
0.372 0.750 0.978 Sm
0.478 0.250 0.606 Sm
0.522 0.750 0.394 Sm
0.628 0.250 0.022 Sm
0.894 0.250 0.872 Sm
0.333 0.250 0.166 In
0.667 0.750 0.834 In
```

Stability ranking, top entry: (x); the second entry is 88 meV/atom less favorable.

(w)
Below is a geometry-optimized Tb3SmIn structure, with properties calculated at the PBE level.

Values from the calculation:
Symmetry = Cmcm, No. 63
Theoretical density = 7.6 Mg/m³

Structure (POSCAR):
```
Tb3SmIn
1.0
2.952 -6.244 0.000
2.952 6.244 0.000
0.000 0.000 8.769
Tb Sm In
6 2 2
direct
0.061 0.939 0.750 Tb
0.175 0.825 0.069 Tb
0.175 0.825 0.431 Tb
0.825 0.175 0.569 Tb
0.825 0.175 0.931 Tb
0.939 0.061 0.250 Tb
0.432 0.568 0.250 Sm
0.568 0.432 0.750 Sm
0.315 0.685 0.750 In
0.685 0.315 0.250 In
```

(x)
Below is a geometry-optimized Tb3SmIn structure, with properties calculated at the PBE level.

Values from the calculation:
Symmetry = Cmcm, No. 63
Theoretical density = 8.2 Mg/m³

Structure (POSCAR):
```
Tb3SmIn
1.0
2.432 -12.654 0.000
2.432 12.654 0.000
0.000 0.000 4.854
Tb Sm In
6 2 2
direct
0.049 0.951 0.750 Tb
0.250 0.750 0.750 Tb
0.448 0.552 0.750 Tb
0.552 0.448 0.250 Tb
0.750 0.250 0.250 Tb
0.951 0.049 0.250 Tb
0.149 0.851 0.250 Sm
0.851 0.149 0.750 Sm
0.346 0.654 0.250 In
0.654 0.346 0.750 In
```

Stability ranking, top entry: (x); the second entry is 425 meV/atom less favorable.

(w)
Below is a geometry-optimized TbSm2In structure, with properties calculated at the PBE level.

Values from the calculation:
Symmetry = R3m, No. 160
Theoretical density = 7.5 Mg/m³

Structure (POSCAR):
```
TbSm2In
1.0
1.832 1.058 10.938
-1.832 1.058 10.938
0.000 -2.115 10.938
Tb Sm In
1 2 1
direct
0.000 0.000 0.000 Tb
0.245 0.245 0.245 Sm
0.422 0.422 0.422 Sm
0.834 0.834 0.834 In
```

(x)
Below is a geometry-optimized TbSm2In structure, with properties calculated at the PBE level.

Values from the calculation:
Symmetry = P4/mmm, No. 123
Theoretical density = 8.1 Mg/m³

Structure (POSCAR):
```
TbSm2In
1.0
4.899 0.000 0.000
0.000 4.899 0.000
0.000 0.000 4.937
Tb Sm In
1 2 1
direct
0.000 0.000 0.000 Tb
0.000 0.500 0.500 Sm
0.500 0.000 0.500 Sm
0.500 0.500 0.000 In
```

Stability ranking, top entry: (x); the second entry is 143 meV/atom less favorable.

(w)
Below is a geometry-optimized TbSm2In structure, with properties calculated at the PBE level.

Values from the calculation:
Symmetry = P4/mmm, No. 123
Theoretical density = 7.7 Mg/m³

Structure (POSCAR):
```
TbSm2In
1.0
3.612 0.000 0.000
0.000 3.612 0.000
0.000 0.000 9.441
Tb Sm In
1 2 1
direct
0.000 0.000 0.000 Tb
0.500 0.500 0.273 Sm
0.500 0.500 0.727 Sm
0.000 0.000 0.500 In
```

(x)
Below is a geometry-optimized TbSm2In structure, with properties calculated at the PBE level.

Values from the calculation:
Symmetry = Fm-3m, No. 225
Theoretical density = 8.0 Mg/m³

Structure (POSCAR):
```
TbSm2In
1.0
0.000 3.909 3.909
3.909 0.000 3.909
3.909 3.909 0.000
Tb Sm In
1 2 1
direct
0.000 0.000 0.000 Tb
0.250 0.250 0.250 Sm
0.750 0.750 0.750 Sm
0.500 0.500 0.500 In
```

Stability ranking, top entry: (w); the second entry is 77 meV/atom less favorable.

(w)
Below is a geometry-optimized TbSm6In2 structure, with properties calculated at the PBE level.

Values from the calculation:
Symmetry = C2/m, No. 12
Theoretical density = 7.6 Mg/m³

Structure (POSCAR):
```
TbSm6In2
1.0
6.503 -1.912 0.000
6.503 1.912 0.000
-3.765 0.000 11.399
Tb Sm In
1 6 2
direct
0.000 0.000 0.000 Tb
0.015 0.015 0.339 Sm
0.308 0.308 0.413 Sm
0.315 0.315 0.123 Sm
0.685 0.685 0.877 Sm
0.692 0.692 0.587 Sm
0.985 0.985 0.661 Sm
0.358 0.358 0.797 In
0.642 0.642 0.203 In
```

(x)
Below is a geometry-optimized TbSm6In2 structure, with properties calculated at the PBE level.

Values from the calculation:
Symmetry = C2/m, No. 12
Theoretical density = 7.7 Mg/m³

Structure (POSCAR):
```
TbSm6In2
1.0
8.721 -4.703 0.000
8.721 4.703 0.000
-0.675 0.000 3.377
Tb Sm In
1 6 2
direct
0.000 0.000 0.000 Tb
0.017 0.643 0.331 Sm
0.336 0.664 0.500 Sm
0.357 0.983 0.669 Sm
0.643 0.017 0.331 Sm
0.664 0.336 0.500 Sm
0.983 0.357 0.669 Sm
0.347 0.347 0.849 In
0.653 0.653 0.151 In
```

Stability ranking, top entry: (w); the second entry is 137 meV/atom less favorable.

(w)
Below is a geometry-optimized Tb5SmIn2 structure, with properties calculated at the PBE level.

Values from the calculation:
Symmetry = Immm, No. 71
Theoretical density = 8.0 Mg/m³

Structure (POSCAR):
```
Tb5SmIn2
1.0
-1.798 5.296 6.368
1.798 -5.296 6.368
1.798 5.296 -6.368
Tb Sm In
5 1 2
direct
0.000 0.000 0.000 Tb
0.091 0.365 0.726 Tb
0.361 0.635 0.726 Tb
0.639 0.365 0.274 Tb
0.909 0.635 0.274 Tb
0.500 0.000 0.500 Sm
0.262 0.262 0.000 In
0.738 0.738 0.000 In
```

(x)
Below is a geometry-optimized Tb5SmIn2 structure, with properties calculated at the PBE level.

Values from the calculation:
Symmetry = Pbam, No. 55
Theoretical density = 8.4 Mg/m³

Structure (POSCAR):
```
Tb5SmIn2
1.0
6.895 0.000 0.000
0.000 13.791 0.000
0.000 0.000 4.868
Tb Sm In
10 2 4
direct
0.000 0.000 0.000 Tb
0.000 0.249 0.000 Tb
0.000 0.751 0.000 Tb
0.250 0.126 0.500 Tb
0.250 0.626 0.500 Tb
0.500 0.251 0.000 Tb
0.500 0.500 0.000 Tb
0.500 0.749 0.000 Tb
0.750 0.374 0.500 Tb
0.750 0.874 0.500 Tb
0.000 0.500 0.000 Sm
0.500 0.000 0.000 Sm
0.248 0.874 0.500 In
0.252 0.374 0.500 In
0.748 0.626 0.500 In
0.752 0.126 0.500 In
```

Stability ranking, top entry: (x); the second entry is 96 meV/atom less favorable.

(w)
Below is a geometry-optimized TbSm4In2 structure, with properties calculated at the PBE level.

Values from the calculation:
Symmetry = P2_1/c, No. 14
Theoretical density = 7.5 Mg/m³

Structure (POSCAR):
```
TbSm4In2
1.0
5.431 0.000 0.000
0.000 12.433 0.000
-0.003 0.000 6.449
Tb Sm In
2 8 4
direct
0.000 0.000 0.000 Tb
0.000 0.500 0.500 Tb
0.002 0.160 0.501 Sm
0.002 0.340 0.001 Sm
0.499 0.670 0.651 Sm
0.499 0.830 0.151 Sm
0.501 0.170 0.849 Sm
0.501 0.330 0.349 Sm
0.998 0.660 0.999 Sm
0.998 0.840 0.499 Sm
0.498 0.568 0.191 In
0.498 0.932 0.691 In
0.502 0.068 0.309 In
0.502 0.432 0.809 In
```

(x)
Below is a geometry-optimized TbSm4In2 structure, with properties calculated at the PBE level.

Values from the calculation:
Symmetry = P2_1/m, No. 11
Theoretical density = 7.7 Mg/m³

Structure (POSCAR):
```
TbSm4In2
1.0
8.532 0.000 0.000
0.000 6.654 0.000
-4.173 0.000 7.542
Tb Sm In
2 8 4
direct
0.248 0.250 0.169 Tb
0.752 0.750 0.831 Tb
0.060 0.004 0.731 Sm
0.060 0.496 0.731 Sm
0.397 0.250 0.610 Sm
0.457 0.750 0.962 Sm
0.543 0.250 0.038 Sm
0.603 0.750 0.390 Sm
0.940 0.504 0.269 Sm
0.940 0.996 0.269 Sm
0.172 0.750 0.110 In
0.310 0.750 0.537 In
0.690 0.250 0.463 In
0.828 0.250 0.890 In
```

Stability ranking, top entry: (w); the second entry is 46 meV/atom less favorable.